This record from Alexandria via LeMat-Bulk describes PuAl9Ir3 after structural relaxation. The functional is PBE-GGA. Values from VASP.

```
&SYSTEM
  ibrav = 0, nat = 13, ntyp = 3
/
ATOMIC_SPECIES
Ir 192.22 Ir.upf
Al 26.98 Al.upf
Pu 244.00 Pu.upf
ATOMIC_POSITIONS crystal
Ir 0.0000 0.0000 0.5000
Ir 0.5000 0.0000 0.5000
Ir 0.5000 0.5000 0.0000
Al 0.0000 0.3379 0.6453
Al 0.6453 0.3379 0.3547
Al 0.0000 0.6621 0.3547
Al 0.7108 0.7872 0.7789
Al 0.3547 0.6621 0.6453
Al 0.5104 0.2128 0.7789
Al 0.0000 0.5000 0.0000
Al 0.4896 0.7872 0.2211
Al 0.2892 0.2128 0.2211
Pu 0.0000 0.0000 0.0000
CELL_PARAMETERS angstrom
-2.5873 4.6860 -0.6369
-5.2351 -0.4671 -4.2674
-5.0749 0.9071 4.4773
```

Output
The calculation puts the total magnetization at 5.31 Bohr magnetons per cell. The space group is No. 12. Its energy of formation from the pure elements is -7.68 eV/f.u. The calculation puts the density of states at the Fermi level at 1.013 states/eV per atom.

=====

This record from Alexandria via LeMat-Bulk describes PuAl2Ir after structural relaxation. The functional is PBE-GGA. Values from VASP.

```
&SYSTEM
  ibrav = 0, nat = 32, ntyp = 3
/
ATOMIC_SPECIES
Al 26.98 Al.upf
Pu 244.00 Pu.upf
Ir 192.22 Ir.upf
ATOMIC_POSITIONS crystal
Al 0.4134 0.9439 0.2925
Al 0.2334 0.4432 0.4590
Al 0.9134 0.4439 0.2075
Al 0.4134 0.5561 0.2925
Al 0.7666 0.9432 0.5410
Al 0.0866 0.9439 0.7925
Al 0.0866 0.5561 0.7925
Al 0.5866 0.4439 0.7075
Al 0.2334 0.0568 0.4590
Al 0.9134 0.0561 0.2075
Al 0.7334 0.5568 0.0410
Al 0.7666 0.5568 0.5410
Al 0.2666 0.4432 0.9590
Al 0.2666 0.0568 0.9590
Al 0.7334 0.9432 0.0410
Al 0.5866 0.0561 0.7075
Pu 0.0691 0.2500 0.6426
Pu 0.7238 0.2500 0.3977
Pu 0.2238 0.7500 0.1023
Pu 0.4309 0.2500 0.1426
Pu 0.5691 0.7500 0.8574
Pu 0.9309 0.7500 0.3574
Pu 0.7762 0.2500 0.8977
Pu 0.2762 0.7500 0.6023
Ir 0.9829 0.2500 0.0658
Ir 0.3239 0.2500 0.8139
Ir 0.1761 0.2500 0.3139
Ir 0.5171 0.2500 0.5658
Ir 0.0171 0.7500 0.9342
Ir 0.6761 0.7500 0.1861
Ir 0.8239 0.7500 0.6861
Ir 0.4829 0.7500 0.4342
CELL_PARAMETERS angstrom
-0.8182 -1.5366 -5.2725
6.7449 -1.9666 -0.4735
-3.7990 -14.1655 4.7178
```

Output
The calculation puts the total magnetization at 43.27 Bohr magnetons per cell. The space group is No. 62. Its energy of formation from the pure elements is -2.52 eV/f.u. The calculation puts the density of states at the Fermi level at 2.278 states/eV per atom.

=====

This record from Alexandria via LeMat-Bulk describes PuAl11Ir after structural relaxation. The functional is PBE-GGA. Values from VASP.

```
&SYSTEM
  ibrav = 0, nat = 13, ntyp = 3
/
ATOMIC_SPECIES
Al 26.98 Al.upf
Ir 192.22 Ir.upf
Pu 244.00 Pu.upf
ATOMIC_POSITIONS crystal
Al 0.5000 0.0000 0.5000
Al 0.9904 0.3566 0.6519
Al 0.5007 0.7790 0.2141
Al 0.0000 0.5000 0.0000
Al 0.3577 0.6434 0.6519
Al 0.2852 0.2210 0.2141
Al 0.6423 0.3566 0.3481
Al 0.7148 0.7790 0.7859
Al 0.0000 0.0000 0.5000
Al 0.0096 0.6434 0.3481
Al 0.4993 0.2210 0.7859
Ir 0.5000 0.5000 0.0000
Pu 0.0000 0.0000 0.0000
CELL_PARAMETERS angstrom
-1.8005 -4.4454 2.0194
5.1439 -4.9252 0.0612
0.8538 -0.3193 6.7636
```

Output
The calculation puts the total magnetization at 5.46 Bohr magnetons per cell. The space group is No. 12. Its energy of formation from the pure elements is -3.51 eV/f.u. The calculation puts the density of states at the Fermi level at 0.759 states/eV per atom.

=====

This record from Alexandria via LeMat-Bulk describes Pu4AlIr4 after structural relaxation. The functional is PBE-GGA. Values from VASP.

```
&SYSTEM
  ibrav = 0, nat = 9, ntyp = 3
/
ATOMIC_SPECIES
Pu 244.00 Pu.upf
Ir 192.22 Ir.upf
Al 26.98 Al.upf
ATOMIC_POSITIONS crystal
Pu 0.3410 0.2999 0.0181
Pu 0.6409 0.0181 0.7001
Pu 0.3591 0.9819 0.2999
Pu 0.6590 0.7001 0.9819
Ir 0.9873 0.3472 0.6782
Ir 0.0127 0.6528 0.3218
Ir 0.3345 0.6782 0.6528
Ir 0.6655 0.3218 0.3472
Al 0.0000 0.0000 0.0000
CELL_PARAMETERS angstrom
-3.1356 2.9773 -2.0081
-4.9656 0.9390 3.4868
1.0052 5.8735 1.4794
```

Output
The calculation puts the total magnetization at 0.00 Bohr magnetons per cell. The space group is No. 87. Its energy of formation from the pure elements is -1.29 eV/f.u. The calculation puts the density of states at the Fermi level at 1.702 states/eV per atom.

=====

- Which formula does entry 3 have?
  PuAl11Ir

=====

- Among the records above, which one has the lowest energy of formation from the pure elements?
  PuAl9Ir3

=====

- Among the records above, which one has the highest energy of formation from the pure elements?
  Pu4AlIr4